Entry a
Density functional theory data (PBE) for a relaxed Tm2BeHg crystal.

## Properties
DOS(E_F) = 2.365 states/eV per cell
total magnetic moment = 0.00 Bohr magnetons per cell

```
data_Tm2BeHg
_chemical_formula_sum 'Tm2 Be1 Hg1'
_cell_length_a 3.451
_cell_length_b 3.451
_cell_length_c 7.297
_cell_angle_alpha 90.00
_cell_angle_beta 90.00
_cell_angle_gamma 90.00
_space_group_name_H-M_alt 'P 4/m m m'
_space_group_IT_number 123
_space_group_name_Hall '-P 4 2'
loop_
_atom_site_label
_atom_site_fract_x
_atom_site_fract_y
_atom_site_fract_z
Tm1 0.000 0.000 0.221
Be1 0.500 0.500 0.000
Hg1 0.500 0.500 0.500
```

Entry b
Density functional theory data (PBE) for a relaxed Tm2BeHg crystal.

## Properties
DOS(E_F) = 12.542 states/eV per cell
total magnetic moment = 0.00 Bohr magnetons per cell

```
data_Tm2BeHg
_chemical_formula_sum 'Tm8 Be4 Hg4'
_cell_length_a 7.100
_cell_length_b 7.100
_cell_length_c 7.100
_cell_angle_alpha 90.00
_cell_angle_beta 90.00
_cell_angle_gamma 90.00
_space_group_name_H-M_alt 'F m -3 m'
_space_group_IT_number 225
_space_group_name_Hall '-F 4 2 3'
loop_
_atom_site_label
_atom_site_fract_x
_atom_site_fract_y
_atom_site_fract_z
Tm1 0.250 0.250 0.250
Be1 0.000 0.000 0.000
Hg1 0.000 0.000 0.500
```

Q: Which of them is the least stable? A: entry b.

Entry a
Density functional theory data (PBE) for a relaxed BeVHg3 crystal.

## Properties
DOS(E_F) = 3.042 states/eV per cell
total magnetic moment = 4.14 Bohr magnetons per cell

```
data_BeVHg3
_chemical_formula_sum 'Be1 V1 Hg3'
_cell_length_a 5.393
_cell_length_b 5.393
_cell_length_c 5.393
_cell_angle_alpha 90.00
_cell_angle_beta 90.00
_cell_angle_gamma 90.00
_space_group_name_H-M_alt 'P m -3 m'
_space_group_IT_number 221
_space_group_name_Hall '-P 4 2 3'
loop_
_atom_site_label
_atom_site_fract_x
_atom_site_fract_y
_atom_site_fract_z
Be1 0.000 0.000 0.000
V1 0.500 0.500 0.500
Hg1 0.000 0.500 0.500
```

Entry b
Density functional theory data (PBE) for a relaxed BeVHg3 crystal.

## Properties
DOS(E_F) = 5.497 states/eV per cell
total magnetic moment = 3.50 Bohr magnetons per cell

```
data_BeVHg3
_chemical_formula_sum 'Be1 V1 Hg3'
_cell_length_a 4.700
_cell_length_b 4.700
_cell_length_c 4.700
_cell_angle_alpha 90.00
_cell_angle_beta 90.00
_cell_angle_gamma 90.00
_space_group_name_H-M_alt 'P m -3 m'
_space_group_IT_number 221
_space_group_name_Hall '-P 4 2 3'
loop_
_atom_site_label
_atom_site_fract_x
_atom_site_fract_y
_atom_site_fract_z
Be1 0.000 0.000 0.000
V1 0.500 0.500 0.500
Hg1 0.000 0.000 0.500
```

Q: Which of them is the least stable? A: entry a.

Entry a
Density functional theory data (PBE) for a relaxed Be3VHg crystal.

## Properties
DOS(E_F) = 2.282 states/eV per cell
total magnetic moment = 0.00 Bohr magnetons per cell

```
data_Be3VHg
_chemical_formula_sum 'Be3 V1 Hg1'
_cell_length_a 4.300
_cell_length_b 4.300
_cell_length_c 4.300
_cell_angle_alpha 90.00
_cell_angle_beta 90.00
_cell_angle_gamma 90.00
_space_group_name_H-M_alt 'P m -3 m'
_space_group_IT_number 221
_space_group_name_Hall '-P 4 2 3'
loop_
_atom_site_label
_atom_site_fract_x
_atom_site_fract_y
_atom_site_fract_z
Be1 0.000 0.000 0.500
V1 0.000 0.000 0.000
Hg1 0.500 0.500 0.500
```

Entry b
Density functional theory data (PBE) for a relaxed Be3VHg crystal.

## Properties
DOS(E_F) = 4.386 states/eV per cell
total magnetic moment = 3.19 Bohr magnetons per cell

```
data_Be3VHg
_chemical_formula_sum 'Be3 V1 Hg1'
_cell_length_a 4.366
_cell_length_b 4.366
_cell_length_c 4.366
_cell_angle_alpha 90.00
_cell_angle_beta 90.00
_cell_angle_gamma 90.00
_space_group_name_H-M_alt 'P m -3 m'
_space_group_IT_number 221
_space_group_name_Hall '-P 4 2 3'
loop_
_atom_site_label
_atom_site_fract_x
_atom_site_fract_y
_atom_site_fract_z
Be1 0.000 0.000 0.500
V1 0.500 0.500 0.500
Hg1 0.000 0.000 0.000
```

Q: Which of them is the least stable? A: entry a.

Entry a
Density functional theory data (PBE) for a relaxed Y2BeHg crystal.

## Properties
DOS(E_F) = 4.326 states/eV per cell
total magnetic moment = 0.00 Bohr magnetons per cell

```
data_Y2BeHg
_chemical_formula_sum 'Y2 Be1 Hg1'
_cell_length_a 4.806
_cell_length_b 3.745
_cell_length_c 6.091
_cell_angle_alpha 90.00
_cell_angle_beta 108.44
_cell_angle_gamma 90.00
_space_group_name_H-M_alt 'P 1 2/m 1'
_space_group_IT_number 10
_space_group_name_Hall '-P 2y'
loop_
_atom_site_label
_atom_site_fract_x
_atom_site_fract_y
_atom_site_fract_z
Y1 0.000 0.000 0.000
Y2 0.500 0.500 0.500
Be1 0.000 0.000 0.500
Hg1 0.500 0.500 0.000
```

Entry b
Density functional theory data (PBE) for a relaxed Y2BeHg crystal.

## Properties
DOS(E_F) = 2.689 states/eV per cell
total magnetic moment = 0.00 Bohr magnetons per cell

```
data_Y2BeHg
_chemical_formula_sum 'Y2 Be1 Hg1'
_cell_length_a 3.516
_cell_length_b 3.516
_cell_length_c 7.390
_cell_angle_alpha 90.00
_cell_angle_beta 90.00
_cell_angle_gamma 90.00
_space_group_name_H-M_alt 'P 4/m m m'
_space_group_IT_number 123
_space_group_name_Hall '-P 4 2'
loop_
_atom_site_label
_atom_site_fract_x
_atom_site_fract_y
_atom_site_fract_z
Y1 0.000 0.000 0.222
Be1 0.500 0.500 0.000
Hg1 0.500 0.500 0.500
```

Q: Which of them is the least stable? A: entry a.

Entry a
Density functional theory data (PBE) for a relaxed Y2BeHg crystal.

## Properties
DOS(E_F) = 4.082 states/eV per cell
total magnetic moment = 0.00 Bohr magnetons per cell

```
data_Y2BeHg
_chemical_formula_sum 'Y2 Be1 Hg1'
_cell_length_a 3.382
_cell_length_b 3.382
_cell_length_c 8.191
_cell_angle_alpha 90.00
_cell_angle_beta 90.00
_cell_angle_gamma 90.00
_space_group_name_H-M_alt 'P 4 m m'
_space_group_IT_number 99
_space_group_name_Hall 'P 4 -2'
loop_
_atom_site_label
_atom_site_fract_x
_atom_site_fract_y
_atom_site_fract_z
Y1 0.000 0.000 0.000
Y2 0.500 0.500 0.345
Be1 0.000 0.000 0.573
Hg1 0.500 0.500 0.736
```

Entry b
Density functional theory data (PBE) for a relaxed Y2BeHg crystal.

## Properties
DOS(E_F) = 8.695 states/eV per cell
total magnetic moment = 0.00 Bohr magnetons per cell

```
data_Y2BeHg
_chemical_formula_sum 'Y4 Be2 Hg2'
_cell_length_a 4.416
_cell_length_b 3.856
_cell_length_c 11.220
_cell_angle_alpha 90.00
_cell_angle_beta 90.00
_cell_angle_gamma 90.00
_space_group_name_H-M_alt 'A m m 2'
_space_group_IT_number 38
_space_group_name_Hall 'A 2 -2'
loop_
_atom_site_label
_atom_site_fract_x
_atom_site_fract_y
_atom_site_fract_z
Y1 0.000 0.000 0.000
Y2 0.500 0.000 0.301
Be1 0.500 0.000 0.576
Hg1 0.000 0.000 0.715
```

Entry c
Density functional theory data (PBE) for a relaxed Y2BeHg crystal.

## Properties
DOS(E_F) = 9.504 states/eV per cell
total magnetic moment = 0.00 Bohr magnetons per cell

```
data_Y2BeHg
_chemical_formula_sum 'Y4 Be2 Hg2'
_cell_length_a 8.076
_cell_length_b 3.695
_cell_length_c 7.115
_cell_angle_alpha 90.00
_cell_angle_beta 103.15
_cell_angle_gamma 90.00
_space_group_name_H-M_alt 'C 1 2/m 1'
_space_group_IT_number 12
_space_group_name_Hall '-C 2y'
loop_
_atom_site_label
_atom_site_fract_x
_atom_site_fract_y
_atom_site_fract_z
Y1 0.240 0.000 0.211
Be1 0.000 0.500 0.000
Hg1 0.000 0.000 0.500
```

Q: Which of them is the least stable? A: entry a.

Entry a
Density functional theory data (PBE) for a relaxed Y2BeHg crystal.

## Properties
DOS(E_F) = 6.510 states/eV per cell
total magnetic moment = 0.00 Bohr magnetons per cell

```
data_Y2BeHg
_chemical_formula_sum 'Y4 Be2 Hg2'
_cell_length_a 4.316
_cell_length_b 4.316
_cell_length_c 9.967
_cell_angle_alpha 90.00
_cell_angle_beta 90.00
_cell_angle_gamma 90.00
_space_group_name_H-M_alt 'I -4 m 2'
_space_group_IT_number 119
_space_group_name_Hall 'I -4 -2'
loop_
_atom_site_label
_atom_site_fract_x
_atom_site_fract_y
_atom_site_fract_z
Y1 0.000 0.000 0.000
Y2 0.000 0.500 0.250
Be1 0.000 0.500 0.750
Hg1 0.000 0.000 0.500
```

Entry b
Density functional theory data (PBE) for a relaxed Y2BeHg crystal.

## Properties
DOS(E_F) = 12.365 states/eV per cell
total magnetic moment = 0.00 Bohr magnetons per cell

```
data_Y2BeHg
_chemical_formula_sum 'Y6 Be3 Hg3'
_cell_length_a 4.4116
_cell_length_b 4.4116
_cell_length_c 17.6213
_cell_angle_alpha 90.00
_cell_angle_beta 90.00
_cell_angle_gamma 120.00
_space_group_name_H-M_alt 'R 3 m'
_space_group_IT_number 160
_space_group_name_Hall 'R 3 -2"'
loop_
_atom_site_label
_atom_site_fract_x
_atom_site_fract_y
_atom_site_fract_z
Y1 0.0000 0.0000 0.0000
Y2 0.0000 0.0000 0.1908
Be1 0.0000 0.0000 0.7790
Hg1 0.0000 0.0000 0.4241
```

Entry c
Density functional theory data (PBE) for a relaxed Y2BeHg crystal.

## Properties
DOS(E_F) = 8.323 states/eV per cell
total magnetic moment = 1.11 Bohr magnetons per cell

```
data_Y2BeHg
_chemical_formula_sum 'Y4 Be2 Hg2'
_cell_length_a 3.521
_cell_length_b 4.926
_cell_length_c 10.548
_cell_angle_alpha 90.00
_cell_angle_beta 90.00
_cell_angle_gamma 90.00
_space_group_name_H-M_alt 'I m m 2'
_space_group_IT_number 44
_space_group_name_Hall 'I 2 -2'
loop_
_atom_site_label
_atom_site_fract_x
_atom_site_fract_y
_atom_site_fract_z
Y1 0.000 0.000 0.000
Y2 0.000 0.500 0.215
Be1 0.000 0.500 0.751
Hg1 0.000 0.000 0.425
```

Q: Which of them is the least stable? A: entry a.

Entry a
Density functional theory data (PBE) for a relaxed Y2BeHg crystal.

## Properties
DOS(E_F) = 19.429 states/eV per cell
total magnetic moment = 5.10 Bohr magnetons per cell

```
data_Y2BeHg
_chemical_formula_sum 'Y8 Be4 Hg4'
_cell_length_a 7.148
_cell_length_b 7.148
_cell_length_c 7.148
_cell_angle_alpha 90.00
_cell_angle_beta 90.00
_cell_angle_gamma 90.00
_space_group_name_H-M_alt 'F -4 3 m'
_space_group_IT_number 216
_space_group_name_Hall 'F -4 2 3'
loop_
_atom_site_label
_atom_site_fract_x
_atom_site_fract_y
_atom_site_fract_z
Y1 0.000 0.000 0.000
Y2 0.250 0.250 0.250
Be1 0.000 0.000 0.500
Hg1 0.250 0.250 0.750
```

Entry b
Density functional theory data (PBE) for a relaxed Y2BeHg crystal.

## Properties
DOS(E_F) = 16.357 states/eV per cell
total magnetic moment = 0.00 Bohr magnetons per cell

```
data_Y2BeHg
_chemical_formula_sum 'Y8 Be4 Hg4'
_cell_length_a 7.698
_cell_length_b 7.698
_cell_length_c 7.041
_cell_angle_alpha 90.00
_cell_angle_beta 90.00
_cell_angle_gamma 90.00
_space_group_name_H-M_alt 'I -4 2 d'
_space_group_IT_number 122
_space_group_name_Hall 'I -4 2bw'
loop_
_atom_site_label
_atom_site_fract_x
_atom_site_fract_y
_atom_site_fract_z
Y1 0.219 0.250 0.125
Be1 0.000 0.000 0.000
Hg1 0.000 0.000 0.500
```

Q: Which of them is the least stable? A: entry a.

Entry a
Density functional theory data (PBE) for a relaxed YBe3Hg crystal.

## Properties
DOS(E_F) = 6.071 states/eV per cell
total magnetic moment = 0.86 Bohr magnetons per cell

```
data_YBe3Hg
_chemical_formula_sum 'Y1 Be3 Hg1'
_cell_length_a 5.250
_cell_length_b 5.250
_cell_length_c 5.250
_cell_angle_alpha 90.00
_cell_angle_beta 90.00
_cell_angle_gamma 90.00
_space_group_name_H-M_alt 'P m -3 m'
_space_group_IT_number 221
_space_group_name_Hall '-P 4 2 3'
loop_
_atom_site_label
_atom_site_fract_x
_atom_site_fract_y
_atom_site_fract_z
Y1 0.000 0.000 0.000
Be1 0.000 0.000 0.500
Hg1 0.500 0.500 0.500
```

Entry b
Density functional theory data (PBE) for a relaxed YBe3Hg crystal.

## Properties
DOS(E_F) = 1.673 states/eV per cell
total magnetic moment = 0.00 Bohr magnetons per cell

```
data_YBe3Hg
_chemical_formula_sum 'Y1 Be3 Hg1'
_cell_length_a 4.451
_cell_length_b 4.451
_cell_length_c 4.451
_cell_angle_alpha 90.00
_cell_angle_beta 90.00
_cell_angle_gamma 90.00
_space_group_name_H-M_alt 'P m -3 m'
_space_group_IT_number 221
_space_group_name_Hall '-P 4 2 3'
loop_
_atom_site_label
_atom_site_fract_x
_atom_site_fract_y
_atom_site_fract_z
Y1 0.000 0.000 0.000
Be1 0.000 0.500 0.500
Hg1 0.500 0.500 0.500
```

Q: Which of them is the least stable? A: entry a.